Ce2Nb2Ge2C: relaxed, GGA-PBE.

Calculated values
Formation enthalpy at 0 K ... -13.7 kcal/mol of atoms
Fermi-level density of states ... 10.0 states/eV/f.u.
E_tot ... -7.802 eV per atom

Cell: 4.309 4.309 15.494 Å, 90.00 90.00 90.00°
Space group I4/mmm (No. 139)
Symmetry-distinct sites (fractional):
Ce  0.000  0.000  0.166 (multiplicity 4)
Nb  0.000  0.500  0.000 (multiplicity 4)
Ge  0.000  0.000  0.377 (multiplicity 4)
C  0.000  0.000  0.000 (multiplicity 2)